The following is a GGA+U calculation of an optimized crystal structure of CoSbF5, from Alexandria.

Results
The value obtained for the mass density is 4.6 g/cm³. As for the total energy: -4.852 eV per atom.

abc: 5.2084 5.2084 7.4302
angles: 95.49 95.49 94.23
Last column: nearest neighbours and their distance in Å.
Element x y z (fractional)
Co 0.0000 0.0000 0.0000  6 F 1.98-2.20
Co 0.0000 0.0000 0.5000  6 F 1.98-2.20
Sb 0.5558 0.4442 0.7500  4 F 1.99-2.16
Sb 0.4442 0.5558 0.2500  4 F 1.99-2.16
F 0.7876 0.6430 0.9866  1 Co 2.08, 1 Sb 2.16
F 0.2124 0.3570 0.0134  1 Co 2.08, 1 Sb 2.16
F 0.3570 0.2124 0.5134  1 Co 2.08, 1 Sb 2.16
F 0.6430 0.7876 0.4866  1 Co 2.08, 1 Sb 2.16
F 0.0909 0.9091 0.7500  2 Co 1.98
F 0.9091 0.0909 0.2500  2 Co 1.98
F 0.6416 0.1341 0.8740  1 Sb 1.99, 1 Co 2.20
F 0.3584 0.8659 0.1260  1 Sb 1.99, 1 Co 2.20
F 0.8659 0.3584 0.6260  1 Sb 1.99, 1 Co 2.20
F 0.1341 0.6416 0.3740  1 Sb 1.99, 1 Co 2.20